[1]
{
  "formula": "InHPd3",
  "functional": "PBE",
  "state": "relaxed",
  "lattice": [[4.080, 0.000, 0.000], [0.000, 4.080, 0.000], [0.000, 0.000, 4.080]],
  "species": ["In", "H", "Pd", "Pd", "Pd"],
  "fractional_positions": [[0.000, 0.000, 0.000], [0.500, 0.500, 0.500], [0.000, 0.500, 0.500], [0.500, 0.000, 0.500], [0.500, 0.500, 0.000]],
  "de_polymorph_ev_per_atom": 0.000,
  "n_ef_per_ev_cell": 0.4,
  "spacegroup": "Pm-3m"
}

---

[2]
{
  "formula": "ZrAsO3",
  "functional": "PBE",
  "state": "relaxed",
  "lattice": [[4.118, 0.000, 0.000], [0.000, 4.118, 0.000], [0.000, 0.000, 4.118]],
  "species": ["Zr", "As", "O", "O", "O"],
  "fractional_positions": [[0.000, 0.000, 0.000], [0.500, 0.500, 0.500], [0.000, 0.000, 0.500], [0.000, 0.500, 0.000], [0.500, 0.000, 0.000]],
  "e_form_raw_ev_per_atom": -1.565,
  "n_ef_per_ev_cell": 2.6,
  "spacegroup": "Pm-3m"
}

---

[3]
{
  "formula": "Rb3Li5Br12",
  "functional": "PBE",
  "state": "relaxed",
  "lattice": [[-8.670, 8.670, 8.670], [8.670, -8.670, 8.670], [8.670, 8.670, -8.670]],
  "species": ["Rb", "Rb", "Rb", "Rb", "Rb", "Rb", "Rb", "Rb", "Rb", "Rb", "Rb", "Rb", "Li", "Li", "Li", "Li", "Li", "Li", "Li", "Li", "Li", "Li", "Li", "Li", "Li", "Li", "Li", "Li", "Li", "Li", "Li", "Li", "Br", "Br", "Br", "Br", "Br", "Br", "Br", "Br", "Br", "Br", "Br", "Br", "Br", "Br", "Br", "Br", "Br", "Br", "Br", "Br", "Br", "Br", "Br", "Br", "Br", "Br", "Br", "Br", "Br", "Br", "Br", "Br", "Br", "Br", "Br", "Br", "Br", "Br", "Br", "Br", "Br", "Br", "Br", "Br", "Br", "Br", "Br", "Br"],
  "fractional_positions": [[0.125, 0.250, 0.375], [0.125, 0.375, 0.750], [0.250, 0.375, 0.125], [0.250, 0.875, 0.625], [0.375, 0.125, 0.250], [0.375, 0.750, 0.125], [0.625, 0.250, 0.875], [0.625, 0.875, 0.750], [0.750, 0.125, 0.375], [0.750, 0.625, 0.875], [0.875, 0.625, 0.250], [0.875, 0.750, 0.625], [0.000, 0.000, 0.000], [0.000, 0.000, 0.500], [0.000, 0.500, 0.000], [0.000, 0.500, 0.500], [0.125, 0.750, 0.875], [0.125, 0.875, 0.250], [0.250, 0.125, 0.875], [0.250, 0.625, 0.375], [0.375, 0.250, 0.625], [0.375, 0.625, 0.750], [0.500, 0.000, 0.000], [0.500, 0.000, 0.500], [0.500, 0.500, 0.000], [0.500, 0.500, 0.500], [0.625, 0.375, 0.250], [0.625, 0.750, 0.375], [0.750, 0.375, 0.625], [0.750, 0.875, 0.125], [0.875, 0.125, 0.750], [0.875, 0.250, 0.125], [0.012, 0.201, 0.091], [0.012, 0.311, 0.921], [0.079, 0.591, 0.390], [0.079, 0.988, 0.689], [0.091, 0.012, 0.201], [0.091, 0.579, 0.890], [0.110, 0.701, 0.689], [0.110, 0.909, 0.421], [0.189, 0.201, 0.610], [0.189, 0.488, 0.579], [0.201, 0.091, 0.012], [0.201, 0.610, 0.189], [0.299, 0.311, 0.890], [0.299, 0.488, 0.409], [0.311, 0.890, 0.299], [0.311, 0.921, 0.012], [0.390, 0.079, 0.591], [0.390, 0.811, 0.799], [0.409, 0.299, 0.488], [0.409, 0.610, 0.921], [0.421, 0.110, 0.909], [0.421, 0.811, 0.512], [0.488, 0.409, 0.299], [0.488, 0.579, 0.189], [0.512, 0.421, 0.811], [0.512, 0.591, 0.701], [0.579, 0.189, 0.488], [0.579, 0.890, 0.091], [0.591, 0.390, 0.079], [0.591, 0.701, 0.512], [0.610, 0.189, 0.201], [0.610, 0.921, 0.409], [0.689, 0.079, 0.988], [0.689, 0.110, 0.701], [0.701, 0.512, 0.591], [0.701, 0.689, 0.110], [0.799, 0.390, 0.811], [0.799, 0.909, 0.988], [0.811, 0.512, 0.421], [0.811, 0.799, 0.390], [0.890, 0.091, 0.579], [0.890, 0.299, 0.311], [0.909, 0.421, 0.110], [0.909, 0.988, 0.799], [0.921, 0.012, 0.311], [0.921, 0.409, 0.610], [0.988, 0.689, 0.079], [0.988, 0.799, 0.909]],
  "e_form_raw_ev_per_atom": -1.108,
  "n_ef_per_ev_cell": 61.6,
  "spacegroup": "Ia-3d"
}

---

[4]
{
  "formula": "BiSbC",
  "functional": "PBE",
  "state": "relaxed",
  "lattice": [[12.009, 0.000, 0.000], [0.000, 3.444, 0.000], [-0.191, 0.000, 7.116]],
  "species": ["Bi", "Bi", "Bi", "Bi", "Sb", "Sb", "Sb", "Sb", "C", "C", "C", "C"],
  "fractional_positions": [[0.000, 0.000, 0.000], [0.245, 0.500, 0.295], [0.500, 0.500, 0.000], [0.745, 0.000, 0.295], [0.214, 0.000, 0.771], [0.490, 0.000, 0.477], [0.714, 0.500, 0.771], [0.990, 0.500, 0.477], [0.059, 0.500, 0.194], [0.164, 0.500, 0.594], [0.559, 0.000, 0.194], [0.664, 0.000, 0.594]],
  "e_form_raw_ev_per_atom": 0.848,
  "de_polymorph_ev_per_atom": 0.105,
  "n_ef_per_ev_cell": 2.0,
  "spacegroup": "Cm"
}